[1]
Density functional theory data (PBE) for an optimized crystal structure of KTe2HN.

Summary:
Symmetry   No. 123
Mass density   4.3 g/cm³
Excess energy over the best structure of this formula in the dataset   0 meV per atom

Cell lengths 4.4937, 4.4937, 5.9695 Å; angles 90.00, 90.00, 90.00 degrees
With the nearest neighbours (Å) after each atom.
Sites, in units of the cell vectors:
1 H 0.0000 0.0000 0.0000  4 Te 2.25
2 Te 0.5000 0.0000 0.0000  2 H 2.25
3 Te 0.0000 0.5000 0.0000  2 H 2.25
4 N 0.0000 0.0000 0.5000  2 H 2.98, 4 K 3.18
5 K 0.5000 0.5000 0.5000  4 N 3.18

***

[2]
Density functional theory data (PBE) for an optimized crystal structure of KTeH6N2.

Summary:
Symmetry   No. 15
Mass density   2.2 g/cm³

Cell lengths 8.2987, 8.2987, 6.0661 Å; angles 104.77, 104.77, 121.34 degrees
With the nearest neighbours (Å) after each atom.
Sites, in units of the cell vectors:
1 H 0.8414 0.0688 0.9682  1 N 1.03
2 H 0.2734 0.0315 0.7530  1 N 1.03
3 H 0.7643 0.9136 0.4811  1 N 1.03
4 H 0.2357 0.0864 0.5189  1 N 1.03
5 H 0.0864 0.2357 0.0189  1 N 1.03
6 H 0.0688 0.8414 0.4682  1 N 1.03
7 H 0.9685 0.7266 0.7470  1 N 1.03
8 H 0.9312 0.1586 0.5318  1 N 1.03
9 H 0.9136 0.7643 0.9811  1 N 1.03
10 H 0.1586 0.9312 0.0318  1 N 1.03
11 H 0.0315 0.2734 0.2530  1 N 1.03
12 H 0.7266 0.9685 0.2470  1 N 1.03
13 N 0.9700 0.2289 0.0590  3 H 1.03
14 N 0.2289 0.9700 0.5590  3 H 1.03
15 N 0.7711 0.0300 0.4410  3 H 1.03
16 N 0.0300 0.7711 0.9410  3 H 1.03
17 Te 0.4633 0.5367 0.7500  4 H 2.85-3.11
18 Te 0.5367 0.4633 0.2500  4 H 2.85-3.11
19 K 0.7032 0.2968 0.7500  4 N 2.91-3.03, 6 H 3.00-3.07
20 K 0.2968 0.7032 0.2500  4 N 2.91-3.03, 6 H 3.00-3.07

***

[3]
Density functional theory data (PBE) for an optimized crystal structure of KTi2HN.

Summary:
Symmetry   No. 123
Mass density   2.2 g/cm³

Cell lengths 3.9902, 3.9902, 7.1002 Å; angles 90.00, 90.00, 90.00 degrees
With the nearest neighbours (Å) after each atom.
Sites, in units of the cell vectors:
1 Ti 0.0000 0.5000 0.0000  2 N 2.00
2 Ti 0.5000 0.0000 0.0000  2 N 2.00
3 H 0.5000 0.5000 0.5000  4 K 2.82
4 N 0.0000 0.0000 0.0000  4 Ti 2.00
5 K 0.0000 0.0000 0.5000  4 H 2.82

***

[4]
Density functional theory data (PBE) for an optimized crystal structure of K2ZrHN.

Summary:
Symmetry   No. 123
Mass density   1.9 g/cm³

Cell lengths 6.5117, 3.8200, 6.5117 Å; angles 90.00, 90.00, 90.00 degrees
With the nearest neighbours (Å) after each atom.
Sites, in units of the cell vectors:
1 Zr 0.0000 0.0000 0.0000  2 H 1.91
2 N 0.5000 0.5000 0.5000  8 K 3.77, 2 N 3.82
3 H 0.0000 0.5000 0.0000  2 Zr 1.91
4 K 0.5000 0.0000 0.0000  2 Zr 3.26
5 K 0.0000 0.0000 0.5000  2 Zr 3.26

***

[5]
Density functional theory data (PBE) for an optimized crystal structure of K2ZrH12N6.

Summary:
Symmetry   No. 167
Mass density   2.1 g/cm³

Cell lengths 6.6189, 6.6189, 11.7414 Å; angles 73.63, 73.63, 60.00 degrees
With the nearest neighbours (Å) after each atom.
Sites, in units of the cell vectors:
1 N 0.5884 0.0999 0.6322  2 H 1.02
2 N 0.1795 0.5999 0.1322  2 H 1.02
3 N 0.8205 0.4001 0.8678  2 H 1.02
4 N 0.5999 0.0884 0.1322  2 H 1.02
5 N 0.4116 0.9001 0.3678  2 H 1.02
6 N 0.9116 0.8205 0.8678  2 H 1.02
7 N 0.6795 0.5884 0.6322  2 H 1.02
8 N 0.3205 0.4116 0.3678  2 H 1.02
9 N 0.0999 0.6795 0.6322  2 H 1.02
10 N 0.0884 0.1795 0.1322  2 H 1.02
11 N 0.9001 0.3205 0.3678  2 H 1.02
12 N 0.4001 0.9116 0.8678  2 H 1.02
13 H 0.3330 0.8119 0.9344  1 N 1.02
14 H 0.8119 0.9207 0.9344  1 N 1.02
15 H 0.8330 0.4207 0.4344  1 N 1.02
16 H 0.9335 0.1667 0.1549  1 N 1.02
17 H 0.7551 0.3333 0.3451  1 N 1.02
18 H 0.0793 0.6670 0.0656  1 N 1.02
19 H 0.2449 0.6667 0.6549  1 N 1.02
20 H 0.3119 0.8330 0.4344  1 N 1.02
21 H 0.6667 0.4335 0.6549  1 N 1.02
22 H 0.1881 0.0793 0.0656  1 N 1.02
23 H 0.8333 0.2551 0.8451  1 N 1.02
24 H 0.5793 0.6881 0.5656  1 N 1.02
25 H 0.1670 0.5793 0.5656  1 N 1.02
26 H 0.6881 0.1670 0.5656  1 N 1.02
27 H 0.2551 0.0665 0.8451  1 N 1.02
28 H 0.5665 0.7551 0.3451  1 N 1.02
29 H 0.4207 0.3119 0.4344  1 N 1.02
30 H 0.7449 0.9335 0.1549  1 N 1.02
31 H 0.0665 0.8333 0.8451  1 N 1.02
32 H 0.4335 0.2449 0.6549  1 N 1.02
33 H 0.3333 0.5665 0.3451  1 N 1.02
34 H 0.1667 0.7449 0.1549  1 N 1.02
35 H 0.6670 0.1881 0.0656  1 N 1.02
36 H 0.9207 0.3330 0.9344  1 N 1.02
37 Zr 0.2500 0.2500 0.2500  6 N 2.23
38 Zr 0.7500 0.7500 0.7500  6 N 2.23
39 K 0.3661 0.3661 0.9018  9 H 2.72-2.97, 3 N 3.03
40 K 0.1339 0.1339 0.5982  9 H 2.72-2.97, 3 N 3.03
41 K 0.6339 0.6339 0.0982  9 H 2.72-2.97, 3 N 3.03
42 K 0.8661 0.8661 0.4018  9 H 2.72-2.97, 3 N 3.03

***

[6]
Density functional theory data (PBE) for an optimized crystal structure of K3NaH7.

Summary:
Symmetry   No. 8
Mass density   1.1 g/cm³

Cell lengths 5.9718, 5.9718, 7.2022 Å; angles 113.91, 113.91, 84.89 degrees
With the nearest neighbours (Å) after each atom.
Sites, in units of the cell vectors:
1 K 0.1617 0.7301 0.4702  5 H 2.68-2.84
2 K 0.4457 0.4457 0.0082  5 H 2.71-3.00
3 K 0.7301 0.1617 0.4702  5 H 2.68-2.84
4 Na 0.8316 0.8316 0.8317  3 H 2.19-2.28
5 H 0.7948 0.7948 0.1091  1 Na 2.19
6 H 0.2655 0.9625 0.2018  1 H 0.77
7 H 0.9531 0.2785 0.0969  1 H 0.77
8 H 0.2785 0.9531 0.0969  1 H 0.77
9 H 0.9625 0.2655 0.2018  1 H 0.77
10 H 0.6274 0.6274 0.4567  1 Na 2.28
11 H 0.0741 0.0741 0.8064  1 Na 2.24, 2 H 2.32

***

[7]
Density functional theory data (PBE) for an optimized crystal structure of KNaH.

Summary:
Symmetry   No. 63
Mass density   1.2 g/cm³
Excess energy over the best structure of this formula in the dataset   77 meV per atom

Cell lengths 3.3943, 7.0323, 7.5327 Å; angles 90.00, 90.00, 103.97 degrees
With the nearest neighbours (Å) after each atom.
Sites, in units of the cell vectors:
1 K 0.0000 0.0000 0.5000  4 H 2.76
2 K 0.0000 0.0000 0.0000  4 H 2.76
3 H 0.4206 0.8412 0.2500  2 Na 2.52, 4 K 2.76
4 H 0.5794 0.1588 0.7500  2 Na 2.52, 4 K 2.76
5 Na 0.7838 0.5677 0.2500  2 H 2.52
6 Na 0.2162 0.4323 0.7500  2 H 2.52

***

[8]
Density functional theory data (PBE) for an optimized crystal structure of KNa3H4.

Summary:
Symmetry   No. 139
Mass density   1.4 g/cm³
Excess energy over the best structure of this formula in the dataset   0 meV per atom

Cell lengths 5.0950, 5.0950, 6.1322 Å; angles 114.55, 114.55, 89.99 degrees
With the nearest neighbours (Å) after each atom.
Sites, in units of the cell vectors:
1 Na 0.5000 0.5000 0.0000  6 H 2.30-2.55
2 Na 0.7500 0.2500 0.5000  6 H 2.48-2.55
3 Na 0.2500 0.7500 0.5000  6 H 2.48-2.55
4 H 0.7316 0.7316 0.4631  5 Na 2.30-2.55
5 H 0.2684 0.2684 0.5369  5 Na 2.30-2.55
6 H 0.0000 0.5000 0.0000  4 Na 2.48-2.55, 2 K 2.55
7 H 0.5000 0.0000 0.0000  4 Na 2.48-2.55, 2 K 2.55
8 K 0.0000 0.0000 0.0000  6 H 2.55-2.66

***

[9]
Density functional theory data (PBE) for an optimized crystal structure of KNaH3.

Summary:
Symmetry   No. 221
Mass density   1.3 g/cm³
Excess energy over the best structure of this formula in the dataset   0 meV per atom

Cell lengths 4.3633, 4.3633, 4.3633 Å; angles 90.00, 90.00, 90.00 degrees
With the nearest neighbours (Å) after each atom.
Sites, in units of the cell vectors:
1 Na 0.0000 0.0000 0.0000  6 H 2.18
2 H 0.0000 0.0000 0.5000  2 Na 2.18
3 H 0.0000 0.5000 0.0000  2 Na 2.18
4 H 0.5000 0.0000 0.0000  2 Na 2.18
5 K 0.5000 0.5000 0.5000  12 H 3.09

***

[10]
Density functional theory data (PBE) for an optimized crystal structure of K2NaH.

Summary:
Symmetry   No. 122
Mass density   1.0 g/cm³
Excess energy over the best structure of this formula in the dataset   33 meV per atom

Cell lengths 8.3051, 8.3051, 7.7746 Å; angles 57.72, 57.72, 90.00 degrees
With the nearest neighbours (Å) after each atom.
Sites, in units of the cell vectors:
1 K 0.8750 0.7347 0.7500  2 H 2.60
2 K 0.4847 0.1250 0.2500  2 H 2.60
3 K 0.2653 0.6250 0.2500  2 H 2.60
4 K 0.3750 0.5153 0.7500  2 H 2.60
5 H 0.2500 0.7500 0.5000  4 K 2.60
6 H 0.5000 0.5000 0.0000  4 K 2.60
7 Na 0.0000 0.0000 0.0000  8 K 4.05-4.44
8 Na 0.7500 0.2500 0.5000  8 K 4.05-4.44

***

Here are the calculated E_tot numbers, same order: -2.88, -4.53, -5.65, -2.92, -5.29, -2.56, -1.94, -2.48, -2.24, -1.72 (eV/atom).